Record 1
Here is crystalline MgBeCr3 at its relaxed geometry from Alexandria via LeMat-Bulk. Energies are from PBE.

Unit cell a=4.8197 b=4.8197 c=4.8197 alpha=90.00 beta=90.00 gamma=90.00
Positions (direct):
Cr  0.0000  0.5000  0.0000
Cr  0.0000  0.0000  0.5000
Cr  0.5000  0.0000  0.0000
Mg  0.0000  0.0000  0.0000
Be  0.5000  0.5000  0.5000

Summary:
Total DFT energy (no corrections) = -23.95 eV per cell
Space group = No. 221
Excess energy over the best structure of this formula in the dataset = 1141 meV per atom

=====

Record 2
Here is crystalline MgBeCr2 at its relaxed geometry from Alexandria via LeMat-Bulk. Energies are from PBE.

Unit cell a=2.5568 b=2.5568 c=8.1908 alpha=90.00 beta=90.00 gamma=109.12
Positions (direct):
Cr  0.0000  0.0000  0.9958
Cr  0.5000  0.5000  0.2222
Mg  0.0000  0.0000  0.5064
Be  0.5000  0.5000  0.7757

Summary:
Total DFT energy (no corrections) = -23.23 eV per cell
Space group = No. 35
Excess energy over the best structure of this formula in the dataset = 114 meV per atom

=====

Record 3
Here is crystalline MgBeCrNi2 at its relaxed geometry from Alexandria via LeMat-Bulk. Energies are from PBE.

Unit cell a=4.2534 b=4.2199 c=4.2534 alpha=90.00 beta=90.00 gamma=90.00
Positions (direct):
Ni  0.0000  0.0000  0.5000
Ni  0.5000  0.0000  0.0000
Mg  0.5000  0.5000  0.5000
Be  0.0000  0.5000  0.0000
Cr  0.0000  0.0000  0.0000

Summary:
Total DFT energy (no corrections) = -22.35 eV per cell
Space group = No. 123

=====

Record 4
Here is crystalline MgBeCr2P at its relaxed geometry from Alexandria via LeMat-Bulk. Energies are from PBE.

Unit cell a=4.8003 b=4.2820 c=4.8003 alpha=90.00 beta=90.00 gamma=90.00
Positions (direct):
Cr  0.0000  0.0000  0.5000
Cr  0.5000  0.0000  0.0000
Mg  0.0000  0.0000  0.0000
Be  0.0000  0.5000  0.0000
P  0.5000  0.5000  0.5000

Summary:
Total DFT energy (no corrections) = -21.81 eV per cell
Space group = No. 123

=====

Record 5
Here is crystalline Mn2BeCr at its relaxed geometry from Alexandria via LeMat-Bulk. Energies are from PBE.

Unit cell a=3.9331 b=3.9331 c=3.9331 alpha=60.00 beta=60.00 gamma=60.00
Positions (direct):
Cr  0.7500  0.7500  0.7500
Mn  0.0000  0.0000  0.0000
Mn  0.2500  0.2500  0.2500
Be  0.5000  0.5000  0.5000

Summary:
Total DFT energy (no corrections) = -31.55 eV per cell
Space group = No. 216

=====

Record 6
Here is crystalline Mn2BeCr at its relaxed geometry from Alexandria via LeMat-Bulk. Energies are from PBE.

Unit cell a=4.5380 b=4.5380 c=3.8272 alpha=65.04 beta=65.04 gamma=35.73
Positions (direct):
Cr  0.2555  0.2555  0.2445
Mn  0.0004  0.0004  0.9996
Mn  0.7467  0.7467  0.7532
Be  0.4974  0.4974  0.5027

Summary:
Total DFT energy (no corrections) = -31.88 eV per cell
Space group = No. 44

=====

Record 7
Here is crystalline Mn2BeCr at its relaxed geometry from Alexandria via LeMat-Bulk. Energies are from PBE.

Unit cell a=4.5599 b=4.5599 c=2.4052 alpha=78.32 beta=78.32 gamma=115.67
Positions (direct):
Cr  0.0000  0.5000  0.5000
Mn  0.0000  0.0000  0.0000
Mn  0.5000  0.5000  0.0000
Be  0.5000  0.0000  0.5000

Summary:
Total DFT energy (no corrections) = -31.54 eV per cell
Space group = No. 12

=====

Record 8
Here is crystalline MnBeCr at its relaxed geometry from Alexandria via LeMat-Bulk. Energies are from PBE.

Unit cell a=6.0313 b=5.8856 c=2.3794 alpha=81.94 beta=75.06 gamma=22.99
Positions (direct):
Cr  0.6644  0.6644  0.3356
Mn  0.3376  0.3376  0.6624
Be  0.9980  0.9980  0.0020

Summary:
Total DFT energy (no corrections) = -22.34 eV per cell
Space group = No. 42
Excess energy over the best structure of this formula in the dataset = 136 meV per atom

=====

Record 9
Here is crystalline Mn2BeCr at its relaxed geometry from Alexandria via LeMat-Bulk. Energies are from PBE.

Unit cell a=6.3670 b=6.3670 c=4.9898 alpha=50.36 beta=50.36 gamma=90.00
Positions (direct):
Cr  0.0000  0.0000  0.0000
Cr  0.7500  0.2500  0.5000
Mn  0.5591  0.1250  0.2500
Mn  0.1909  0.6250  0.2500
Mn  0.3750  0.4409  0.7500
Mn  0.8750  0.8091  0.7500
Be  0.5000  0.5000  0.0000
Be  0.2500  0.7500  0.5000

Summary:
Total DFT energy (no corrections) = -57.86 eV per cell
Space group = No. 122

=====

Record 10
Here is crystalline MnBeCr4 at its relaxed geometry from Alexandria via LeMat-Bulk. Energies are from PBE.

Unit cell a=4.6287 b=4.6287 c=4.6287 alpha=60.00 beta=60.00 gamma=60.00
Positions (direct):
Mn  0.7500  0.7500  0.7500
Be  0.0000  0.0000  0.0000
Cr  0.8783  0.3739  0.3739
Cr  0.3739  0.3739  0.8783
Cr  0.3739  0.8783  0.3739
Cr  0.3739  0.3739  0.3739

Summary:
Total DFT energy (no corrections) = -49.62 eV per cell
Space group = No. 216

=====

Record 11
Here is crystalline Mn2BeCr at its relaxed geometry from Alexandria via LeMat-Bulk. Energies are from PBE.

Unit cell a=2.3898 b=2.3898 c=7.6275 alpha=90.00 beta=90.00 gamma=106.14
Positions (direct):
Cr  0.5000  0.5000  0.7413
Mn  0.0000  0.0000  0.0041
Mn  0.5000  0.5000  0.2594
Be  0.0000  0.0000  0.4952

Summary:
Total DFT energy (no corrections) = -31.36 eV per cell
Space group = No. 35

=====

Record 12
Here is crystalline MnBe17Cr at its relaxed geometry from Alexandria via LeMat-Bulk. Energies are from PBE.

Unit cell a=5.4482 b=5.4482 c=5.4482 alpha=82.61 beta=82.61 gamma=82.61
Positions (direct):
Mn  0.6635  0.6635  0.6635
Be  0.3040  0.9995  0.6966
Be  0.6966  0.3040  0.9995
Be  0.9995  0.6966  0.3040
Be  0.3040  0.6966  0.9995
Be  0.9995  0.3040  0.6966
Be  0.6966  0.9995  0.3040
Be  0.3487  0.8378  0.3487
Be  0.3487  0.3487  0.8378
Be  0.8378  0.3487  0.3487
Be  0.6513  0.1595  0.6513
Be  0.6513  0.6513  0.1595
Be  0.1595  0.6513  0.6513
Be  0.0022  0.4984  0.0022
Be  0.0022  0.0022  0.4984
Be  0.4984  0.0022  0.0022
Be  0.8987  0.8987  0.8987
Be  0.1009  0.1009  0.1009
Cr  0.3364  0.3364  0.3364

Summary:
Total DFT energy (no corrections) = -83.74 eV per cell
Space group = No. 160

=====

Record 13
Here is crystalline Mn3BeCr at its relaxed geometry from Alexandria via LeMat-Bulk. Energies are from PBE.

Unit cell a=4.2307 b=4.2307 c=4.2307 alpha=90.00 beta=90.00 gamma=90.00
Positions (direct):
Cr  0.0000  0.0000  0.0000
Mn  0.0000  0.5000  0.0000
Mn  0.0000  0.0000  0.5000
Mn  0.5000  0.0000  0.0000
Be  0.5000  0.5000  0.5000

Summary:
Total DFT energy (no corrections) = -34.81 eV per cell
Space group = No. 221
Excess energy over the best structure of this formula in the dataset = 900 meV per atom

=====

Record 14
Here is crystalline Mn2BeCr at its relaxed geometry from Alexandria via LeMat-Bulk. Energies are from PBE.

Unit cell a=2.3847 b=2.3847 c=7.7053 alpha=90.00 beta=90.00 gamma=109.14
Positions (direct):
Cr  0.5000  0.5000  0.7500
Mn  0.0000  0.0000  0.0103
Mn  0.0000  0.0000  0.4897
Be  0.5000  0.5000  0.2500

Summary:
Total DFT energy (no corrections) = -31.55 eV per cell
Space group = No. 65

=====

Record 15
Here is crystalline Mn2Be2Cr at its relaxed geometry from Alexandria via LeMat-Bulk. Energies are from PBE.

Unit cell a=5.8309 b=5.8309 c=2.8010 alpha=90.00 beta=90.00 gamma=90.00
Positions (direct):
Cr  0.0000  0.0000  0.0000
Cr  0.5000  0.5000  0.0000
Mn  0.1755  0.6755  0.5000
Mn  0.6755  0.8245  0.5000
Mn  0.8245  0.3245  0.5000
Mn  0.3245  0.1755  0.5000
Be  0.3782  0.8782  0.0000
Be  0.8782  0.6218  0.0000
Be  0.6218  0.1218  0.0000
Be  0.1218  0.3782  0.0000

Summary:
Total DFT energy (no corrections) = -71.19 eV per cell
Space group = No. 127

=====

Record 16
Here is crystalline Mn2Be9Cr at its relaxed geometry from Alexandria via LeMat-Bulk. Energies are from PBE.

Unit cell a=4.1939 b=4.1939 c=7.1644 alpha=72.98 beta=72.98 gamma=60.00
Positions (direct):
Mn  0.8532  0.8532  0.4405
Mn  0.1468  0.1468  0.5595
Be  0.6661  0.6661  0.0016
Be  0.3339  0.3339  0.9984
Be  0.5000  0.5000  0.5000
Be  0.4127  0.4127  0.2547
Be  0.9199  0.4127  0.2547
Be  0.4127  0.9199  0.2547
Be  0.5873  0.5873  0.7453
Be  0.5873  0.0801  0.7453
Be  0.0801  0.5873  0.7453
Cr  0.0000  0.0000  0.0000

Summary:
Total DFT energy (no corrections) = -63.18 eV per cell
Space group = No. 166

=====

Record 17
Here is crystalline MnBeCr at its relaxed geometry from Alexandria via LeMat-Bulk. Energies are from PBE.

Unit cell a=5.4810 b=5.4810 c=5.4810 alpha=154.25 beta=154.25 gamma=36.73
Positions (direct):
Cr  0.3433  0.3433  0.0000
Mn  0.6539  0.6539  0.0000
Be  0.0028  0.0028  0.0000

Summary:
Total DFT energy (no corrections) = -22.27 eV per cell
Space group = No. 107
Excess energy over the best structure of this formula in the dataset = 158 meV per atom

=====

Record 18
Here is crystalline Mn2BeCr at its relaxed geometry from Alexandria via LeMat-Bulk. Energies are from PBE.

Unit cell a=3.8231 b=2.4010 c=4.6319 alpha=77.06 beta=90.00 gamma=90.00
Positions (direct):
Cr  0.5000  0.7867  0.7372
Mn  0.0000  0.9884  0.0035
Mn  0.5000  0.2409  0.2600
Be  0.0000  0.4840  0.4993

Summary:
Total DFT energy (no corrections) = -31.69 eV per cell
Space group = No. 6

=====

Record 19
Here is crystalline MnBeCr at its relaxed geometry from Alexandria via LeMat-Bulk. Energies are from PBE.

Unit cell a=3.7607 b=3.7607 c=3.7607 alpha=60.00 beta=60.00 gamma=60.00
Positions (direct):
Cr  0.5000  0.5000  0.5000
Mn  0.7500  0.7500  0.7500
Be  0.0000  0.0000  0.0000

Summary:
Total DFT energy (no corrections) = -20.67 eV per cell
Space group = No. 216
Excess energy over the best structure of this formula in the dataset = 692 meV per atom

=====

Record 20
Here is crystalline MnBeCr at its relaxed geometry from Alexandria via LeMat-Bulk. Energies are from PBE.

Unit cell a=3.8478 b=5.4536 c=5.4536 alpha=120.00 beta=90.00 gamma=90.00
Positions (direct):
Mn  0.5000  0.6667  0.3333
Mn  0.5000  0.3333  0.6667
Mn  0.0000  0.0000  0.0000
Cr  0.0000  0.5639  0.5639
Cr  0.0000  0.0000  0.4361
Cr  0.0000  0.4361  0.0000
Be  0.5000  0.0000  0.7826
Be  0.5000  0.7826  0.0000
Be  0.5000  0.2174  0.2174

Summary:
Total DFT energy (no corrections) = -64.96 eV per cell
Space group = No. 189
Excess energy over the best structure of this formula in the dataset = 363 meV per atom